Here is YCd2WO after structural relaxation from the Alexandria database. Energies are from PBE with a Hubbard U.

Results
Final energy = -3.8528 eV/atom

abc: 6.1034 6.1034 4.1358
angles: 90.00 90.00 90.00
With the nearest neighbours (Å) after each atom.
Atoms (fractional coordinates):
Y 0.0000 0.0000 0.0000  2 O 2.07
Cd 0.0000 0.5000 0.0000  2 Y 3.05
Cd 0.5000 0.0000 0.0000  2 Y 3.05
W 0.5000 0.5000 0.5000  8 Cd 3.69
O 0.0000 0.0000 0.5000  2 Y 2.07